Here is crystalline EuSn4Sb at its relaxed geometry from Alexandria. Energies are from PBE.

Computed properties:
- Spin magnetization: 7.24 Bohr magnetons per cell
- Energy relative to the elements, uncorrected: -1.02 eV/f.u.

Cell: 6.242 6.242 6.242 Å, 60.00 60.00 60.00°
Sites, in units of the cell vectors:
Eu: 0.000 0.000 0.000
Sn: 0.126 0.625 0.625
Sn: 0.625 0.126 0.625
Sn: 0.625 0.625 0.126
Sn: 0.625 0.625 0.625
Sb: 0.250 0.250 0.250

Here is crystalline Tl12InPb6 at its relaxed geometry from Alexandria. Energies are from PBE.

Computed properties:
- Spin magnetization: 0.00 Bohr magnetons per cell
- Relative energy among the computed polymorphs: 0 meV/atom
- ΔE_f: 0.6 kJ/mol of atoms

Cell: 9.414 9.414 9.414 Å, 111.61 111.61 111.61°
Sites, in units of the cell vectors:
Tl: 0.030 0.187 0.289
Tl: 0.187 0.289 0.030
Tl: 0.237 0.655 0.601
Tl: 0.289 0.030 0.187
Tl: 0.345 0.399 0.763
Tl: 0.399 0.763 0.345
Tl: 0.601 0.237 0.655
Tl: 0.655 0.601 0.237
Tl: 0.711 0.970 0.813
Tl: 0.763 0.345 0.399
Tl: 0.813 0.711 0.970
Tl: 0.970 0.813 0.711
In: 0.500 0.500 0.500
Pb: 0.080 0.551 0.873
Pb: 0.127 0.920 0.449
Pb: 0.449 0.127 0.920
Pb: 0.551 0.873 0.080
Pb: 0.873 0.080 0.551
Pb: 0.920 0.449 0.127

Here is crystalline Li3CdBr at its relaxed geometry from Alexandria. Energies are from PBE.

Computed properties:
- Spin magnetization: 0.00 Bohr magnetons per cell
- Relative energy among the computed polymorphs: 0 meV/atom
- Energy relative to the elements, uncorrected: -2.20 eV/f.u.

Cell: 4.910 4.910 4.910 Å, 90.00 90.00 90.00°
Sites, in units of the cell vectors:
Li: 0.000 0.000 0.500
Li: 0.000 0.500 0.000
Li: 0.500 0.000 0.000
Cd: 0.500 0.500 0.500
Br: 0.000 0.000 0.000

Here is crystalline KYZr at its relaxed geometry from Alexandria. Energies are from PBE.

Computed properties:
- Spin magnetization: 0.61 Bohr magnetons per cell
- Relative energy among the computed polymorphs: 213 meV/atom
- ΔE_f: 36.4 kJ/mol of atoms

Cell: 3.413 5.264 12.850 Å, 90.40 97.18 90.00°
Sites, in units of the cell vectors:
K: 0.000 0.000 0.000
K: 0.349 0.496 0.740
Y: 0.150 0.005 0.321
Y: 0.602 0.504 0.218
Zr: 0.211 0.506 0.453
Zr: 0.750 0.991 0.534